Record 1
# PBE-GGA Na2DyTc2N4, relaxed
data_Na2DyTc2N4
_symmetry_space_group_name_H-M 'C 1 2/m 1'
_symmetry_Int_Tables_number 12
_cell_length_a 11.5382
_cell_length_b 3.4145
_cell_length_c 8.6707
_cell_angle_alpha 90.00
_cell_angle_beta 127.33
_cell_angle_gamma 90.00
loop_
_symmetry_equiv_pos_as_xyz
'x,y,z'
'-x,-y,-z'
'-x,y,-z'
'x,-y,z'
'x+1/2,y+1/2,z'
'-x+1/2,-y+1/2,-z'
'-x+1/2,y+1/2,-z'
'x+1/2,-y+1/2,z'
loop_
_atom_site_label
_atom_site_fract_x
_atom_site_fract_y
_atom_site_fract_z
_atom_site_occupancy
Na1 0.1596 0.0000 0.2659 1
Dy1 0.0000 0.0000 0.5000 1
Tc1 0.1482 0.5000 0.8765 1
N1 0.0454 0.5000 0.3506 1
N2 0.2196 0.0000 0.8230 1
# - E_tot: -130.1 eV/cell
# - Calculated density: 5.63 g cm⁻³
# - Density of states at the Fermi level: 6.1 states/eV/cell

---

Record 2
# PBE-GGA DyNbN, relaxed
data_DyNbN
_symmetry_space_group_name_H-M 'P -6 m 2'
_symmetry_Int_Tables_number 187
_symmetry_space_group_name_Hall 'P -6 2'
_cell_length_a 3.1828
_cell_length_b 3.1828
_cell_length_c 11.4536
_cell_angle_alpha 90.00
_cell_angle_beta 90.00
_cell_angle_gamma 120.00
loop_
_atom_site_label
_atom_site_fract_x
_atom_site_fract_y
_atom_site_fract_z
_atom_site_occupancy
Dy1 0.0000 0.0000 0.1323 1
Nb1 0.6667 0.3333 0.3799 1
N1 0.0000 0.0000 0.5000 1
N2 0.6667 0.3333 0.0000 1
# - E_tot: -48.5 eV/cell
# - Calculated density: 8.90 g cm⁻³
# - Density of states at the Fermi level: 6.6 states/eV/cell